Run one
## LiW2O6 (PBE+U)

Data for crystalline LiW2O6 at its relaxed geometry. Values from VASP.

Calculated values
For the density of states at the Fermi level, the calculation gives 1.93 states/eV/cell.

```
&SYSTEM
  ibrav = 0, nat = 18, ntyp = 3
/
ATOMIC_SPECIES
O 16.00 O.upf
W 183.84 W.upf
Li 6.94 Li.upf
CELL_PARAMETERS angstrom
-4.375 4.729 -1.292
-1.631 -2.975 5.627
5.994 2.633 0.556
ATOMIC_POSITIONS crystal
O 0.702 0.902 0.200
O 0.702 0.503 0.800
O 0.298 0.098 0.800
O 0.197 0.707 0.905
O 0.803 0.293 0.095
O 0.803 0.707 0.510
O 0.497 0.788 0.709
O 0.503 0.212 0.291
O 0.197 0.293 0.490
O 0.298 0.497 0.200
O 0.079 0.788 0.291
O 0.921 0.212 0.709
W 0.000 0.000 0.500
W 0.000 0.500 0.000
W 0.500 0.500 0.500
W 0.500 0.000 0.000
Li 0.500 0.500 0.000
Li 0.000 0.500 0.500
```


Run two
## LiW2O6 (PBE+U)

Data for crystalline LiW2O6 at its relaxed geometry. Values from VASP.

Calculated values
For the density of states at the Fermi level, the calculation gives 2.74 states/eV/cell.

```
&SYSTEM
  ibrav = 0, nat = 9, ntyp = 3
/
ATOMIC_SPECIES
O 16.00 O.upf
W 183.84 W.upf
Li 6.94 Li.upf
CELL_PARAMETERS angstrom
3.895 0.000 0.000
1.947 4.934 0.042
1.947 2.137 6.081
ATOMIC_POSITIONS crystal
O 0.698 0.670 0.934
O 0.302 0.330 0.066
O 0.008 0.180 0.803
O 0.992 0.820 0.197
O 0.335 0.726 0.605
O 0.665 0.274 0.395
W 0.821 0.221 0.137
W 0.179 0.779 0.863
Li 0.000 0.500 0.500
```


Stability, descending: run one, run two


Run one
## Li2WO4 (PBE+U)

Data for crystalline Li2WO4 at its relaxed geometry. Values from VASP.

Calculated values
For the density of states at the Fermi level, the calculation gives 0.00 states/eV/cell.

```
&SYSTEM
  ibrav = 0, nat = 14, ntyp = 3
/
ATOMIC_SPECIES
O 16.00 O.upf
Li 6.94 Li.upf
W 183.84 W.upf
CELL_PARAMETERS angstrom
-1.690 -0.370 -5.563
0.245 -5.195 -2.625
-4.852 -1.081 1.418
ATOMIC_POSITIONS crystal
O 0.223 0.517 0.636
O 0.207 0.998 0.428
O 0.517 0.223 0.136
O 0.777 0.483 0.364
O 0.483 0.777 0.864
O 0.002 0.793 0.072
O 0.998 0.207 0.928
O 0.793 0.002 0.572
Li 0.843 0.543 0.728
Li 0.457 0.157 0.772
Li 0.157 0.457 0.272
Li 0.543 0.843 0.228
W 0.837 0.163 0.250
W 0.163 0.837 0.750
```


Run two
## Li2WO4 (PBE+U)

Data for crystalline Li2WO4 at its relaxed geometry. Values from VASP.

Calculated values
For the density of states at the Fermi level, the calculation gives 0.00 states/eV/cell.

```
&SYSTEM
  ibrav = 0, nat = 42, ntyp = 3
/
ATOMIC_SPECIES
O 16.00 O.upf
W 183.84 W.upf
Li 6.94 Li.upf
CELL_PARAMETERS angstrom
9.067 -0.003 -0.005
-2.783 8.629 -0.005
-2.783 -3.820 7.738
ATOMIC_POSITIONS crystal
O 0.689 0.029 0.993
O 0.654 0.959 0.640
O 0.971 0.007 0.311
O 0.681 0.382 0.720
O 0.720 0.681 0.382
O 0.280 0.319 0.618
O 0.618 0.280 0.319
O 0.640 0.654 0.959
O 0.749 0.419 0.075
O 0.360 0.346 0.041
O 0.993 0.689 0.029
O 0.959 0.640 0.654
O 0.029 0.993 0.689
O 0.041 0.360 0.346
O 0.581 0.925 0.251
O 0.311 0.971 0.007
O 0.319 0.618 0.280
O 0.419 0.075 0.749
O 0.251 0.581 0.925
O 0.382 0.720 0.681
O 0.925 0.251 0.581
O 0.007 0.311 0.971
O 0.075 0.749 0.419
O 0.346 0.041 0.360
W 0.945 0.768 0.535
W 0.768 0.535 0.945
W 0.465 0.055 0.232
W 0.232 0.465 0.055
W 0.055 0.232 0.465
W 0.535 0.945 0.768
Li 0.606 0.432 0.203
Li 0.797 0.394 0.568
Li 0.568 0.797 0.394
Li 0.107 0.871 0.276
Li 0.724 0.893 0.129
Li 0.394 0.568 0.797
Li 0.203 0.606 0.432
Li 0.129 0.724 0.893
Li 0.432 0.203 0.606
Li 0.893 0.129 0.724
Li 0.276 0.107 0.871
Li 0.871 0.276 0.107
```


Stability, descending: run one, run two